Compound: Pb2Se3
Source: Alexandria
Functional: PBE
Structure: relaxed

Computed properties:
Symmetry: Fdd2, No. 43
E_form (uncorrected) in eV per formula unit: -1.39
Fermi-level density of states in states/eV/cell: 6.64

Geometry as POSCAR:
```
Pb2Se3
1.0
0.000 8.139 3.968
4.229 0.000 3.968
4.229 8.139 0.000
Pb Se
4 6
Direct
0.015 0.485 0.079
0.171 0.829 0.235
0.485 0.015 0.421
0.829 0.171 0.765
0.017 0.017 0.983
0.028 0.628 0.696
0.267 0.267 0.233
0.554 0.602 0.222
0.602 0.554 0.622
0.628 0.028 0.648
```